First-principles (PBE) data for an optimized crystal structure of KNdAlS3, as listed in OQMD via LeMat-Bulk.

CIF file:
```
data_KNdAlS3
_cell_length_a 11.1516
_cell_length_b 4.2011
_cell_length_c 12.2403
_cell_angle_alpha 90.00
_cell_angle_beta 90.00
_cell_angle_gamma 90.00
_symmetry_space_group_name_H-M 'P n m a'
_symmetry_Int_Tables_number 62
loop_
_symmetry_equiv_pos_as_xyz
'x,y,z'
'-x,-y,-z'
'-x+1/2,-y,z+1/2'
'x+1/2,y,-z+1/2'
'x+1/2,-y+1/2,-z+1/2'
'-x+1/2,y+1/2,z+1/2'
'-x,y+1/2,-z'
'x,-y+1/2,z'
loop_
_atom_site_label
_atom_site_type_symbol
_atom_site_fract_x
_atom_site_fract_y
_atom_site_fract_z
K1 K 0.1645 0.2500 0.0068
Nd1 Nd 0.0309 0.2500 0.6654
Al1 Al 0.2417 0.2500 0.2857
S1 S 0.0629 0.7500 0.8318
S2 S 0.1147 0.2500 0.4342
S3 S 0.2061 0.7500 0.2046
```

Summary:
* raw total energy: -0.3736 Ry per atom
* size of the total moment: 0.0795 μB per atom
* V: 573.44 Å³ per cell